Model w:
The following is a PBE calculation of an optimized crystal structure of PdClF, from the Alexandria database.

abc: 4.7728 3.3573 7.6801
angles: 90.00 99.06 90.00
Space group P2/m (No. 10)
Unique sites:
Pd: 0.0000 0.0000 0.0000
Pd: 0.0000 0.5000 0.5000
Cl: 0.2183 0.0000 0.6842
F: 0.2368 0.5000 0.1040

Calculated values
total moment	0.584	μB per formula unit
density	4.4	g/cm³
calculated volume	20.25	Å³ per atom

***

Model x:
The following is a PBE calculation of an optimized crystal structure of PdClF, from the Alexandria database.

abc: 5.1034 6.5112 6.5239
angles: 78.59 89.77 89.74
Space group P-1 (No. 2)
Unique sites:
Pd: 0.2499 0.1250 0.1249
Pd: 0.2500 0.6251 0.6249
Cl: 0.2500 0.3751 0.3748
Cl: 0.2501 0.8747 0.8752
F: 0.2497 0.3744 0.8743
F: 0.2499 0.8753 0.3751

Calculated values
total moment	0.000	μB per formula unit
density	5.0	g/cm³
calculated volume	17.71	Å³ per atom

***

What should be chosen as the most stable of them? Choose model x.

***

Model w:
The following is a PBE calculation of an optimized crystal structure of Pd2ClF, from the Alexandria database.

abc: 6.1651 6.1651 6.1651
angles: 90.00 90.00 90.00
Space group Fm-3m (No. 225)
Unique sites:
Pd: 0.2500 0.2500 0.2500
Cl: 0.0000 0.0000 0.0000
F: 0.0000 0.0000 0.5000

Calculated values
total moment	1.474	μB per formula unit
density	7.6	g/cm³
calculated volume	14.65	Å³ per atom

***

Model x:
The following is a PBE calculation of an optimized crystal structure of Pd2ClF, from the Alexandria database.

abc: 6.5328 6.5328 5.8941
angles: 90.00 90.00 90.00
Space group I-42d (No. 122)
Unique sites:
Pd: 0.2374 0.2500 0.1250
Cl: 0.0000 0.0000 0.5000
F: 0.0000 0.0000 0.0000

Calculated values
total moment	0.042	μB per formula unit
density	7.1	g/cm³
calculated volume	15.72	Å³ per atom

***

What should be chosen as the most stable of them? Choose model x.

***

Model w:
The following is a PBE calculation of an optimized crystal structure of PdSCl2F, from the Alexandria database.

abc: 5.3719 5.3719 3.6051
angles: 90.00 90.00 90.00
Space group P4/mmm (No. 123)
Unique sites:
Pd: 0.0000 0.0000 0.0000
S: 0.5000 0.5000 0.0000
Cl: 0.0000 0.5000 0.5000
F: 0.5000 0.5000 0.5000

Calculated values
total moment	2.826	μB per formula unit
density	3.6	g/cm³
calculated volume	20.81	Å³ per atom

***

Model x:
The following is a PBE calculation of an optimized crystal structure of PdSCl2F, from the Alexandria database.

abc: 4.8984 4.8984 4.5193
angles: 90.00 90.00 90.00
Space group P4/mmm (No. 123)
Unique sites:
Pd: 0.0000 0.0000 0.0000
S: 0.0000 0.0000 0.5000
Cl: 0.0000 0.5000 0.0000
F: 0.5000 0.5000 0.5000

Calculated values
total moment	0.646	μB per formula unit
density	3.5	g/cm³
calculated volume	21.69	Å³ per atom

***

What should be chosen as the most stable of them? Choose model x.

***

Model w:
The following is a PBE calculation of an optimized crystal structure of PmClF2, from the Alexandria database.

abc: 4.0464 4.0464 15.0754
angles: 90.00 90.00 120.00
Space group R3m (No. 160, hexagonal axes)
Unique sites:
Pm: 0.0000 0.0000 0.0000
Cl: 0.0000 0.0000 0.1892
F: 0.0000 0.0000 0.3822
F: 0.0000 0.0000 0.6540

Calculated values
total moment	0.000	μB per formula unit
density	5.1	g/cm³
calculated volume	17.81	Å³ per atom

***

Model x:
The following is a PBE calculation of an optimized crystal structure of PmClF2, from the Alexandria database.

abc: 3.8933 10.1086 7.0968
angles: 90.00 90.00 90.00
Space group Cmcm (No. 63)
Unique sites:
Pm: 0.0000 0.2373 0.2500
Cl: 0.0000 0.0471 0.7500
F: 0.0000 0.3192 0.5668

Calculated values
total moment	0.000	μB per formula unit
density	5.2	g/cm³
calculated volume	17.46	Å³ per atom

***

What should be chosen as the most stable of them? Choose model x.

***

Model w:
The following is a PBE calculation of an optimized crystal structure of PrClF2, from the Alexandria database.

abc: 3.9737 10.2294 7.2022
angles: 90.00 90.00 90.00
Space group Cmcm (No. 63)
Unique sites:
Pr: 0.0000 0.2362 0.2500
Cl: 0.0000 0.0480 0.7500
F: 0.0000 0.3192 0.5665

Calculated values
total moment	0.000	μB per formula unit
density	4.9	g/cm³
calculated volume	18.30	Å³ per atom

***

Model x:
The following is a PBE calculation of an optimized crystal structure of PrClF2, from the Alexandria database.

abc: 7.4674 6.7786 5.3989
angles: 90.00 90.00 90.00
Space group Pnma (No. 62)
Unique sites:
Pr: 0.1249 0.2500 0.1189
Cl: 0.0299 0.7500 0.3993
F: 0.1573 0.5582 0.8923

Calculated values
total moment	0.000	μB per formula unit
density	5.2	g/cm³
calculated volume	17.08	Å³ per atom

***

What should be chosen as the most stable of them? Choose model w.

***

Model w:
The following is a PBE calculation of an optimized crystal structure of PrCl2F, from the Alexandria database.

abc: 7.1723 4.1392 7.2962
angles: 90.00 108.46 90.00
Space group Cm (No. 8)
Unique sites:
Pr: 0.0000 0.0000 0.0000
Cl: 0.0837 0.5000 0.7428
Cl: 0.2494 0.5000 0.2574
F: 0.3333 0.0000 0.0001

Calculated values
total moment	0.000	μB per formula unit
density	3.7	g/cm³
calculated volume	25.68	Å³ per atom

***

Model x:
The following is a PBE calculation of an optimized crystal structure of PrCl2F, from the Alexandria database.

abc: 8.4830 8.6778 9.4206
angles: 90.00 90.00 90.00
Space group Fmmm (No. 69)
Unique sites:
Pr: 0.0000 0.2144 0.0000
Cl: 0.1829 0.0000 0.5000
Cl: 0.2500 0.2500 0.2500
F: 0.0000 0.0000 0.1411

Calculated values
total moment	0.000	μB per formula unit
density	4.4	g/cm³
calculated volume	21.67	Å³ per atom

***

What should be chosen as the most stable of them? Choose model w.